# 1
Density functional theory data (GGA-PBE) for a relaxed structure of AsPdSe3.

Summary:
Crystal system: cubic
Energy, eV per atom: -3.3286

Cell: 4.9956 4.9956 4.9956 Å, 90.00 90.00 90.00°
Element x y z (fractional)
As (0.0000, 0.0000, 0.0000)
Se (0.0000, 0.5000, 0.0000)
Se (0.0000, 0.0000, 0.5000)
Se (0.5000, 0.0000, 0.0000)
Pd (0.5000, 0.5000, 0.5000)


# 2
Density functional theory data (GGA-PBE) for a relaxed structure of PmAs2W.

Summary:
Crystal system: trigonal
Energy of formation, eV per atom: 0.42

Cell: 3.0569 3.0569 10.3251 Å, 81.49 81.49 60.00°
Element x y z (fractional)
As (0.0839, 0.0839, 0.7483)
As (0.9161, 0.9161, 0.2517)
W (0.0000, 0.0000, 0.0000)
Pm (0.5000, 0.5000, 0.5000)


# 3
Density functional theory data (GGA-PBE) for a relaxed structure of La2PuBi3Rh4.

Summary:
Crystal system: tetragonal
Energy of formation, eV per atom: -0.35

Cell: 4.7801 4.7801 10.5381 Å, 90.00 90.00 90.00°
Each line ends with the local moment (μB).
Element x y z (fractional)
La (0.5000, 0.0000, 0.2238)  0.00
La (0.0000, 0.5000, 0.7762)  0.00
Pu (0.5000, 0.5000, 0.5000)  0.46
Bi (0.0000, 0.0000, 0.5000)  -0.01
Bi (0.5000, 0.0000, 0.8703)  0.01
Bi (0.0000, 0.5000, 0.1297)  0.01
Rh (0.5000, 0.5000, 0.0000)  0.08
Rh (0.0000, 0.0000, 0.0000)  0.07
Rh (0.5000, 0.0000, 0.6165)  -0.04
Rh (0.0000, 0.5000, 0.3835)  -0.04


no.,N(E_F) (states/eV/cell),magnetic moment (μB/atom)
1,7.8,0.000
2,4.0,0.000
3,15.3,0.056